Record 1
This record from the Alexandria database describes a relaxed LiLuBiIr crystal. The functional is PBE.

Values from the calculation:
volume = 19.1 A^3/atom
ΔH_f (0 K) = -0.55 eV per atom
total moment = 0.00 μB per formula unit

Cell lengths 4.767, 4.767, 4.767 Å; angles 60.00, 60.00, 60.00 degrees
Fractional coordinates of all 4 atoms:
Li  0.000  0.000  0.000
Lu  0.250  0.250  0.250
Bi  0.750  0.750  0.750
Ir  0.500  0.500  0.500

Record 2
This record from the Alexandria database describes a relaxed Li2BiIrO8 crystal. The functional is PBE.

Values from the calculation:
volume = 11.8 A^3/atom
total moment = 0.09 μB per formula unit
raw formation energy = -864 meV per atom

Cell lengths 4.408, 5.065, 6.376 Å; angles 90.00, 90.09, 95.44 degrees
Fractional coordinates of all 12 atoms:
Li  0.000  0.000  0.232
Li  0.000  0.000  0.768
Bi  0.500  0.500  0.500
Ir  0.500  0.500  0.000
O  0.237  0.350  0.771
O  0.238  0.350  0.228
O  0.290  0.790  0.000
O  0.353  0.921  0.500
O  0.647  0.079  0.500
O  0.710  0.210  0.000
O  0.762  0.650  0.772
O  0.763  0.650  0.229

Record 3
This record from the Alexandria database describes a relaxed Li2BiIrO6 crystal. The functional is PBE.

Values from the calculation:
volume = 11.5 A^3/atom
total moment = 1.57 μB per formula unit
raw formation energy = -1168 meV per atom

Cell lengths 5.631, 5.631, 5.631 Å; angles 56.30, 56.30, 56.30 degrees
Fractional coordinates of all 10 atoms:
Li  0.000  0.000  0.000
Li  0.499  0.499  0.499
Bi  0.284  0.284  0.284
Ir  0.793  0.793  0.793
O  0.041  0.420  0.710
O  0.178  0.863  0.603
O  0.420  0.710  0.041
O  0.603  0.178  0.863
O  0.710  0.041  0.420
O  0.863  0.603  0.178

Record 4
This record from the Alexandria database describes a relaxed LiBiIrO6 crystal. The functional is PBE.

Values from the calculation:
volume = 12.8 A^3/atom
total moment = 0.00 μB per formula unit
raw formation energy = -891 meV per atom

Cell lengths 5.491, 5.491, 8.855 Å; angles 90.00, 90.00, 120.00 degrees
Fractional coordinates of all 18 atoms:
Li  0.000  0.000  0.000
Li  0.000  0.000  0.500
Bi  0.333  0.667  0.250
Bi  0.667  0.333  0.750
Ir  0.333  0.667  0.750
Ir  0.667  0.333  0.250
O  0.042  0.376  0.629
O  0.042  0.666  0.871
O  0.334  0.376  0.871
O  0.334  0.958  0.629
O  0.376  0.042  0.129
O  0.376  0.334  0.371
O  0.624  0.666  0.629
O  0.624  0.958  0.871
O  0.666  0.042  0.371
O  0.666  0.624  0.129
O  0.958  0.334  0.129
O  0.958  0.624  0.371